Below is a relaxed Tm2Ge5Rh3 crystal, with properties calculated at the PBE level.

Formation energy from the elements in eV/atom: -0.749
Crystal system: orthorhombic
E above lowest polymorph in eV/atom: 0.005
Symmetry: Cmc2_1, No. 36

a b c (Å): 4.1999 6.8130 12.4529
angles (deg): 90.00 99.71 90.00
Last column: nearest neighbours and their distance in Å.
Fractional coordinates of all 20 atoms:
Tm1 0.4792 0.7399 0.9583  3 Rh 2.79-2.96, 3 Ge 2.91-3.11
Tm2 0.1752 0.7413 0.3505  8 Ge 2.95-3.23, 2 Rh 3.13
Tm3 0.8248 0.2413 0.6495  8 Ge 2.95-3.23, 2 Rh 3.13
Tm4 0.5208 0.2399 0.0417  3 Rh 2.79-2.96, 3 Ge 2.91-3.11
Ge1 0.4000 0.3776 0.8000  3 Rh 2.45-2.52
Ge2 0.2918 0.5208 0.5836  3 Rh 2.57-2.62, 1 Ge 2.83
Ge3 0.7082 0.0208 0.4164  3 Rh 2.57-2.62, 1 Ge 2.83
Ge4 0.1173 0.2631 0.2346  4 Rh 2.55-2.70, 1 Ge 2.73
Ge5 0.2934 0.9469 0.5868  4 Rh 2.49-2.64
Ge6 0.9528 0.0747 0.9056  4 Rh 2.59-2.62, 1 Ge 2.73
Ge7 0.7066 0.4469 0.4132  4 Rh 2.49-2.64
Ge8 0.8827 0.7631 0.7654  4 Rh 2.55-2.70, 1 Ge 2.73
Ge9 0.0472 0.5747 0.0944  4 Rh 2.59-2.62, 1 Ge 2.73
Ge10 0.6000 0.8776 0.2000  3 Rh 2.45-2.52
Rh1 0.7791 0.7335 0.5581  7 Ge 2.55-2.64
Rh2 0.6065 0.5086 0.2129  6 Ge 2.49-2.70, 1 Tm 2.79
Rh3 0.0538 0.9582 0.1075  5 Ge 2.45-2.62
Rh4 0.2209 0.2335 0.4419  7 Ge 2.55-2.64
Rh5 0.9462 0.4582 0.8925  5 Ge 2.45-2.62
Rh6 0.3935 0.0086 0.7871  6 Ge 2.49-2.70, 1 Tm 2.79

***

Below is a relaxed Tm3Ge2Rh3 crystal, with properties calculated at the PBE level.

Formation energy from the elements in eV/atom: -0.958
Crystal system: orthorhombic
Symmetry: Pnma, No. 62

a b c (Å): 5.5221 7.4073 15.0643
angles (deg): 90.00 90.00 90.00
Last column: nearest neighbours and their distance in Å.
Fractional coordinates of all 32 atoms:
Tm1 0.1352 0.4776 0.3946  3 Ge 2.94-3.02, 6 Rh 2.95-3.08
Tm2 0.6352 0.0224 0.6054  3 Ge 2.94-3.02, 6 Rh 2.95-3.08
Tm3 0.8648 0.5224 0.8946  3 Ge 2.94-3.02, 6 Rh 2.95-3.08
Tm4 0.3648 0.9776 0.1054  3 Ge 2.94-3.02, 6 Rh 2.95-3.08
Tm5 0.8648 0.5224 0.6054  3 Ge 2.94-3.02, 6 Rh 2.95-3.08
Tm6 0.3648 0.9776 0.3946  3 Ge 2.94-3.02, 6 Rh 2.95-3.08
Tm7 0.1352 0.4776 0.1054  3 Ge 2.94-3.02, 6 Rh 2.95-3.08
Tm8 0.6352 0.0224 0.8946  3 Ge 2.94-3.02, 6 Rh 2.95-3.08
Tm9 0.6046 0.3334 0.2500  3 Rh 2.87-3.06, 4 Ge 3.00-3.01
Tm10 0.1046 0.1666 0.7500  3 Rh 2.87-3.06, 4 Ge 3.00-3.01
Tm11 0.3954 0.6666 0.7500  3 Rh 2.87-3.06, 4 Ge 3.00-3.01
Tm12 0.8954 0.8334 0.2500  3 Rh 2.87-3.06, 4 Ge 3.00-3.01
Ge1 0.8687 0.1222 0.3898  4 Rh 2.44-2.58
Ge2 0.3687 0.3778 0.6102  4 Rh 2.44-2.58
Ge3 0.1313 0.8778 0.8898  4 Rh 2.44-2.58
Ge4 0.6313 0.6222 0.1102  4 Rh 2.44-2.58
Ge5 0.1313 0.8778 0.6102  4 Rh 2.44-2.58
Ge6 0.6313 0.6222 0.3898  4 Rh 2.44-2.58
Ge7 0.8687 0.1222 0.1102  4 Rh 2.44-2.58
Ge8 0.3687 0.3778 0.8898  4 Rh 2.44-2.58
Rh1 0.1227 0.1868 0.2500  2 Ge 2.58, 1 Tm 2.87
Rh2 0.6227 0.3132 0.7500  2 Ge 2.58, 1 Tm 2.87
Rh3 0.8773 0.8132 0.7500  2 Ge 2.58, 1 Tm 2.87
Rh4 0.3773 0.6868 0.2500  2 Ge 2.58, 1 Tm 2.87
Rh5 0.5893 0.3250 0.4662  3 Ge 2.44-2.52
Rh6 0.0893 0.1750 0.5338  3 Ge 2.44-2.52
Rh7 0.4107 0.6750 0.9662  3 Ge 2.44-2.52
Rh8 0.9107 0.8250 0.0338  3 Ge 2.44-2.52
Rh9 0.4107 0.6750 0.5338  3 Ge 2.44-2.52
Rh10 0.9107 0.8250 0.4662  3 Ge 2.44-2.52
Rh11 0.5893 0.3250 0.0338  3 Ge 2.44-2.52
Rh12 0.0893 0.1750 0.9662  3 Ge 2.44-2.52

***

Below is a relaxed Tm3Ge2Rh2 crystal, with properties calculated at the PBE level.

Formation energy from the elements in eV/atom: -0.951
Crystal system: orthorhombic
Symmetry: Pbcm, No. 57

a b c (Å): 5.5474 7.6695 13.1872
angles (deg): 90.00 90.00 90.00
Last column: nearest neighbours and their distance in Å.
Fractional coordinates of all 28 atoms:
Tm1 0.6281 0.2641 0.2500  5 Ge 2.97-3.31, 4 Rh 3.00-3.01
Tm2 0.3719 0.7359 0.7500  5 Ge 2.97-3.31, 4 Rh 3.00-3.01
Tm3 0.3719 0.7641 0.2500  5 Ge 2.97-3.31, 4 Rh 3.00-3.01
Tm4 0.6281 0.2359 0.7500  5 Ge 2.97-3.31, 4 Rh 3.00-3.01
Tm5 0.1461 0.3984 0.0998  4 Rh 2.87-3.10, 4 Ge 2.95-3.16
Tm6 0.8539 0.6016 0.9002  4 Rh 2.87-3.10, 4 Ge 2.95-3.16
Tm7 0.8539 0.6016 0.5998  4 Rh 2.87-3.10, 4 Ge 2.95-3.16
Tm8 0.8539 0.8984 0.4002  4 Rh 2.87-3.10, 4 Ge 2.95-3.16
Tm9 0.1461 0.3984 0.4002  4 Rh 2.87-3.10, 4 Ge 2.95-3.16
Tm10 0.1461 0.1016 0.5998  4 Rh 2.87-3.10, 4 Ge 2.95-3.16
Tm11 0.1461 0.1016 0.9002  4 Rh 2.87-3.10, 4 Ge 2.95-3.16
Tm12 0.8539 0.8984 0.0998  4 Rh 2.87-3.10, 4 Ge 2.95-3.16
Ge1 0.1224 0.1143 0.2500  2 Rh 2.55
Ge2 0.8776 0.8857 0.7500  2 Rh 2.55
Ge3 0.8776 0.6143 0.2500  2 Rh 2.55
Ge4 0.1224 0.3857 0.7500  2 Rh 2.55
Ge5 0.6730 0.2500 0.0000  4 Rh 2.58-2.60
Ge6 0.3270 0.7500 0.0000  4 Rh 2.58-2.60
Ge7 0.3270 0.7500 0.5000  4 Rh 2.58-2.60
Ge8 0.6730 0.2500 0.5000  4 Rh 2.58-2.60
Rh1 0.3734 0.0478 0.0929  3 Ge 2.55-2.60
Rh2 0.6266 0.9522 0.9071  3 Ge 2.55-2.60
Rh3 0.6266 0.9522 0.5929  3 Ge 2.55-2.60
Rh4 0.6266 0.5478 0.4071  3 Ge 2.55-2.60
Rh5 0.3734 0.0478 0.4071  3 Ge 2.55-2.60
Rh6 0.3734 0.4522 0.5929  3 Ge 2.55-2.60
Rh7 0.3734 0.4522 0.9071  3 Ge 2.55-2.60
Rh8 0.6266 0.5478 0.0929  3 Ge 2.55-2.60

***

Below is a relaxed Tm3Ge3Rh2 crystal, with properties calculated at the PBE level.

Formation energy from the elements in eV/atom: -0.963
Crystal system: orthorhombic
E above lowest polymorph in eV/atom: 0.000
Symmetry: Cmcm, No. 63

a b c (Å): 4.2829 5.6205 14.0706
angles (deg): 90.00 90.00 112.40
Last column: nearest neighbours and their distance in Å.
Fractional coordinates of all 16 atoms:
Tm1 0.9174 0.8349 0.3896  4 Rh 2.97-3.21, 7 Ge 2.99-3.27
Tm2 0.0826 0.1651 0.8896  4 Rh 2.97-3.21, 7 Ge 2.99-3.27
Tm3 0.9174 0.8349 0.1104  4 Rh 2.97-3.21, 7 Ge 2.99-3.27
Tm4 0.0826 0.1651 0.6104  4 Rh 2.97-3.21, 7 Ge 2.99-3.27
Tm5 0.6450 0.2900 0.2500  5 Ge 3.01-3.08, 4 Rh 3.07
Tm6 0.3550 0.7100 0.7500  5 Ge 3.01-3.08, 4 Rh 3.07
Ge1 0.6186 0.2372 0.4628  3 Rh 2.48-2.67, 1 Ge 2.68
Ge2 0.3814 0.7628 0.9628  3 Rh 2.48-2.67, 1 Ge 2.68
Ge3 0.6186 0.2372 0.0372  3 Rh 2.48-2.67, 1 Ge 2.68
Ge4 0.3814 0.7628 0.5372  3 Rh 2.48-2.67, 1 Ge 2.68
Ge5 0.3482 0.6964 0.2500  2 Rh 2.60
Ge6 0.6518 0.3036 0.7500  2 Rh 2.60
Rh1 0.7968 0.5935 0.9004  4 Ge 2.48-2.67
Rh2 0.2032 0.4065 0.4004  4 Ge 2.48-2.67
Rh3 0.7968 0.5935 0.5996  4 Ge 2.48-2.67
Rh4 0.2032 0.4065 0.0996  4 Ge 2.48-2.67

***

Below is a relaxed Tm3Ge4Rh2 crystal, with properties calculated at the PBE level.

Formation energy from the elements in eV/atom: -0.870
Crystal system: monoclinic
Symmetry: C2/m, No. 12

a b c (Å): 4.2671 5.7303 8.1304
angles (deg): 107.84 90.00 111.86
Last column: nearest neighbours and their distance in Å.
Fractional coordinates of all 9 atoms:
Tm1 0.6281 0.2561 0.6947  7 Ge 2.90-3.14, 4 Rh 2.93-3.21
Tm2 0.0000 0.0000 0.0000  8 Ge 3.00-3.33
Tm3 0.3719 0.7439 0.3053  7 Ge 2.90-3.14, 4 Rh 2.93-3.21
Ge1 0.7093 0.4185 0.0718  1 Rh 2.49, 2 Ge 2.71
Ge2 0.2907 0.5815 0.9282  1 Rh 2.49, 2 Ge 2.71
Ge3 0.9170 0.8340 0.6020  3 Rh 2.45-2.57
Ge4 0.0830 0.1660 0.3980  3 Rh 2.45-2.57
Rh1 0.6861 0.3723 0.3665  4 Ge 2.45-2.57
Rh2 0.3139 0.6277 0.6335  4 Ge 2.45-2.57

***

Below is a relaxed Tm3Ge4Rh7 crystal, with properties calculated at the PBE level.

Formation energy from the elements in eV/atom: -0.887
Crystal system: monoclinic
Symmetry: C2/m, No. 12

a b c (Å): 4.0460 7.9264 8.2439
angles (deg): 69.99 75.79 75.21
Last column: nearest neighbours and their distance in Å.
Fractional coordinates of all 14 atoms:
Tm1 0.3331 0.1724 0.1614  9 Rh 2.92-3.14, 4 Ge 2.99-3.04
Tm2 0.6669 0.8276 0.8386  9 Rh 2.92-3.14, 4 Ge 2.99-3.04
Tm3 0.0000 0.5000 0.5000  6 Ge 2.87-3.11
Ge1 0.6664 0.4417 0.2256  5 Rh 2.44-2.52
Ge2 0.3336 0.5583 0.7744  5 Rh 2.44-2.52
Ge3 0.8884 0.8880 0.3352  6 Rh 2.49-2.57
Ge4 0.1116 0.1120 0.6648  6 Rh 2.49-2.57
Rh1 0.3046 0.8491 0.5416  4 Ge 2.44-2.57
Rh2 0.4931 0.2361 0.7776  3 Ge 2.46-2.51
Rh3 0.8376 0.4000 0.9249  3 Ge 2.48-2.52
Rh4 0.6954 0.1509 0.4584  4 Ge 2.44-2.57
Rh5 0.1624 0.6000 0.0751  3 Ge 2.48-2.52
Rh6 0.0000 0.0000 0.0000  2 Ge 2.56
Rh7 0.5069 0.7639 0.2224  3 Ge 2.46-2.51

***

Below is a relaxed Tm3Ge3Rh crystal, with properties calculated at the PBE level.

Formation energy from the elements in eV/atom: -0.500
Crystal system: hexagonal
E above lowest polymorph in eV/atom: 0.411
Symmetry: P6_3/m, No. 176

a b c (Å): 5.6128 8.2953 8.2953
angles (deg): 120.00 90.00 90.00
Last column: nearest neighbours and their distance in Å.
Fractional coordinates of all 14 atoms:
Tm1 0.7500 0.6814 0.5945  5 Ge 2.84-2.96
Tm2 0.7500 0.4055 0.0869  5 Ge 2.84-2.96
Tm3 0.7500 0.9131 0.3186  5 Ge 2.84-2.96
Tm4 0.2500 0.3186 0.4055  5 Ge 2.84-2.96
Tm5 0.2500 0.5945 0.9131  5 Ge 2.84-2.96
Tm6 0.2500 0.0869 0.6814  5 Ge 2.84-2.96
Ge1 0.2500 0.7281 0.6536  1 Rh 2.44
Ge2 0.2500 0.3464 0.0745  1 Rh 2.44
Ge3 0.2500 0.9255 0.2719  1 Rh 2.44
Ge4 0.7500 0.2719 0.3464  1 Rh 2.44
Ge5 0.7500 0.6536 0.9255  1 Rh 2.44
Ge6 0.7500 0.0745 0.7281  1 Rh 2.44
Rh1 0.2500 0.6667 0.3333  3 Ge 2.44
Rh2 0.7500 0.3333 0.6667  3 Ge 2.44

***

Below is a relaxed UGe2Rh4 crystal, with properties calculated at the PBE level.

Formation energy from the elements in eV/atom: -0.283
Crystal system: tetragonal
Symmetry: I4/mmm, No. 139

a b c (Å): 3.9799 3.9799 8.8608
angles (deg): 102.98 102.98 90.00
Last column: nearest neighbours and their distance in Å.
Fractional coordinates of all 7 atoms:
Rh1 0.1327 0.1327 0.2654  1 U 2.23
Rh2 0.8673 0.8673 0.7346  1 U 2.23
Rh3 0.2500 0.7500 0.5000  4 Ge 2.56, 8 Rh 2.80-2.81
Rh4 0.7500 0.2500 0.5000  4 Ge 2.56, 8 Rh 2.80-2.81
Ge1 0.6542 0.6542 0.3085  8 Rh 2.56-2.84
Ge2 0.3458 0.3458 0.6915  8 Rh 2.56-2.84
U1 0.0000 0.0000 0.0000  2 Rh 2.23

***

Below is a relaxed UGe6Rh12 crystal, with properties calculated at the PBE level.

Formation energy from the elements in eV/atom: -0.350
Crystal system: trigonal
Symmetry: R-3m, No. 166

a b c (Å): 7.1331 7.1331 7.1331
angles (deg): 106.39 106.39 106.39
Last column: nearest neighbours and their distance in Å.
Fractional coordinates of all 19 atoms:
U1 0.0000 0.0000 0.0000  6 Rh 3.15
Ge1 0.6962 0.2554 0.2554  7 Rh 2.39-2.58
Ge2 0.2554 0.2554 0.6962  7 Rh 2.39-2.58
Ge3 0.2554 0.6962 0.2554  7 Rh 2.39-2.58
Ge4 0.7446 0.7446 0.3038  7 Rh 2.39-2.58
Ge5 0.3038 0.7446 0.7446  7 Rh 2.39-2.58
Ge6 0.7446 0.3038 0.7446  7 Rh 2.39-2.58
Rh1 0.8717 0.1283 0.5000  4 Ge 2.39-2.45
Rh2 0.8248 0.5860 0.5860  3 Ge 2.53-2.58, 2 Rh 2.73
Rh3 0.5860 0.5860 0.8248  3 Ge 2.53-2.58, 2 Rh 2.73
Rh4 0.4140 0.1752 0.4140  3 Ge 2.53-2.58, 2 Rh 2.73
Rh5 0.4140 0.4140 0.1752  3 Ge 2.53-2.58, 2 Rh 2.73
Rh6 0.1752 0.4140 0.4140  3 Ge 2.53-2.58, 2 Rh 2.73
Rh7 0.1283 0.5000 0.8717  4 Ge 2.39-2.45
Rh8 0.5000 0.8717 0.1283  4 Ge 2.39-2.45
Rh9 0.1283 0.8717 0.5000  4 Ge 2.39-2.45
Rh10 0.8717 0.5000 0.1283  4 Ge 2.39-2.45
Rh11 0.5000 0.1283 0.8717  4 Ge 2.39-2.45
Rh12 0.5860 0.8248 0.5860  3 Ge 2.53-2.58, 2 Rh 2.73